1.
Er2Tm7Pb2 after structural relaxation. Source: Alexandria via LeMat-Bulk, functional PBE.

Cell: 8.5208 6.4146 6.4146 Å, 91.93 77.66 77.66°
Sites, in units of the cell vectors:
1 Er 0.5000 0.1803 0.8197
2 Er 0.5000 0.8197 0.1803
3 Tm 0.1692 0.5187 0.1233
4 Tm 0.8308 0.8767 0.4813
5 Tm 0.8308 0.4813 0.8767
6 Tm 0.1692 0.1233 0.5187
7 Tm 0.5123 0.3104 0.3104
8 Tm 0.0000 0.0000 0.0000
9 Tm 0.4877 0.6896 0.6896
10 Pb 0.1591 0.6239 0.6239
11 Pb 0.8409 0.3761 0.3761

Summary:
Energy = -4.36 eV per atom
Theoretical density = 9.619 g cm⁻³

2.
ErTmPb2 after structural relaxation. Source: Alexandria via LeMat-Bulk, functional PBE.

Cell: 4.3622 5.0450 5.0450 Å, 90.00 90.00 90.00°
Sites, in units of the cell vectors:
1 Pb 0.0000 0.0000 0.5000
2 Pb 0.0000 0.5000 0.0000
3 Tm 0.5000 0.0000 0.0000
4 Er 0.5000 0.5000 0.5000

Summary:
Energy = -4.49 eV per atom
Theoretical density = 11.226 g cm⁻³

3.
Er2TmPb2 after structural relaxation. Source: Alexandria via LeMat-Bulk, functional PBE.

Cell: 4.9710 6.4882 9.3808 Å, 90.00 105.36 90.00°
Sites, in units of the cell vectors:
1 Er 0.0006 0.2721 0.0011
2 Er 0.1889 0.5251 0.3778
3 Er 0.8111 0.0251 0.6222
4 Er 0.9994 0.7721 0.9989
5 Tm 0.6061 0.0209 0.2122
6 Tm 0.3939 0.5209 0.7878
7 Pb 0.5755 0.5220 0.1510
8 Pb 0.1977 0.0255 0.3954
9 Pb 0.8023 0.5255 0.6046
10 Pb 0.4245 0.0220 0.8490

Summary:
Energy = -4.61 eV per atom
Offset from the most stable computed form = 0 meV per atom
Theoretical density = 10.448 g cm⁻³

Question: What is the formula in the third record?
Answer: Er2TmPb2

Question: Among the records above, which one has the lowest theoretical density?
Answer: Er2Tm7Pb2

Question: Which formula does entry 2 have?
Answer: ErTmPb2

Question: Which value of energy does entry 1 give?
Answer: -4.36 eV per atom